## BiH5Pd6 (GGA-PBE)

Data for a relaxed BiH5Pd6 crystal.

Cell: 4.818 5.440 5.474 Å, 99.08 95.96 96.14°
Space group P-1 (No. 2)
One atom of each set of equivalent atoms:
Bi 0.000 0.000 0.000 [1 per cell]
H 0.001 0.641 0.363 [2 per cell]
H 0.499 0.186 0.807 [2 per cell]
H 0.500 0.500 0.500 [1 per cell]
Pd 0.236 0.665 0.666 [2 per cell]
Pd 0.270 0.147 0.534 [2 per cell]
Pd 0.270 0.539 0.148 [2 per cell]

Fermi-level density of states: 3.0 states/eV/cell
E_tot: -52.219 eV per cell

## Tm2Pd3Pt (GGA-PBE)

Data for a relaxed Tm2Pd3Pt crystal.

Cell: 10.527 17.006 7.206 Å, 90.00 133.11 90.00°
Space group Cc (No. 9)
One atom of each set of equivalent atoms:
Tm 0.000 0.013 0.000 [4 per cell]
Tm 0.251 0.267 0.738 [4 per cell]
Tm 0.326 0.303 0.287 [4 per cell]
Tm 0.492 0.039 0.499 [4 per cell]
Pd 0.008 0.137 0.336 [4 per cell]
Pd 0.025 0.293 0.210 [4 per cell]
Pd 0.092 0.143 0.788 [4 per cell]
Pd 0.194 0.426 0.500 [4 per cell]
Pd 0.345 0.102 0.755 [4 per cell]
Pd 0.456 0.171 0.203 [4 per cell]
Pt 0.211 0.149 0.254 [4 per cell]
Pt 0.253 0.421 0.960 [4 per cell]

Fermi-level density of states: 24.2 states/eV/cell
E_tot: -286.129 eV per cell
DFT formation energy: -867 meV/atom
distance to the lowest polymorph of the same formula: 0.0 meV per atom

## SiRhBr2 (GGA-PBE)

Data for a relaxed SiRhBr2 crystal.

Cell: 3.3504 3.3504 27.4969 Å, 90.00 90.00 120.00°
Space group R3m (No. 160, hexagonal axes)
One atom of each set of equivalent atoms:
Si 0.0000 0.0000 0.0000 [3 per cell]
Rh 0.0000 0.0000 0.2840 [3 per cell]
Br 0.0000 0.0000 0.5429 [3 per cell]
Br 0.0000 0.0000 0.7354 [3 per cell]

Fermi-level density of states: 13.2 states/eV/cell
E_tot: -50.169 eV per cell
distance to the lowest polymorph of the same formula: 38.8 meV per atom
energy relative to the elements, uncorrected: -0.15 eV/atom